No. 1
Here is a geometry-optimized RbTiAgBr2 structure from Alexandria via LeMat-Bulk. Energies are from PBE.

Values from the calculation:
As for the total magnetization: 2.82 Bohr magnetons per cell. For the raw formation energy, the calculation gives 21 meV/atom.

Cell: 5.8089 5.8089 5.2120 Å, 90.00 90.00 90.00°
Last column: nearest neighbours and their distance in Å.
Space group P4/mmm (No. 123)
Asymmetric unit:
Rb (0.0000, 0.0000, 0.0000) [1 per cell]  8 Br 3.90, 4 Ti 4.11
Ti (0.5000, 0.5000, 0.0000) [1 per cell]  2 Ag 2.61
Ag (0.5000, 0.5000, 0.5000) [1 per cell]  2 Ti 2.61, 4 Br 2.90
Br (0.0000, 0.5000, 0.5000) [2 per cell]  2 Ag 2.90


No. 2
Here is a geometry-optimized PrTl2As2Pt7 structure from Alexandria via LeMat-Bulk. Energies are from PBE.

Values from the calculation:
As for the total magnetization: 0.00 Bohr magnetons per cell. For the formation energy from the elements, the calculation gives -408 meV per atom.

Cell: 5.7183 5.7151 15.9110 Å, 90.00 99.51 90.00°
Last column: nearest neighbours and their distance in Å.
Space group C2/m (No. 12)
Asymmetric unit:
Pr (0.0000, 0.0000, 0.0000) [2 per cell]  12 Pt 2.86-3.05
Tl (0.2036, 0.0000, 0.4231) [4 per cell]  5 Pt 2.90-2.91
As (0.1107, 0.5000, 0.2384) [4 per cell]  5 Pt 2.41-2.50
Pt (0.0000, 0.5000, 0.0000) [2 per cell]  4 Pr 2.86, 8 Pt 3.04-3.05
Pt (0.1826, 0.2501, 0.8550) [8 per cell]  2 As 2.50
Pt (0.1890, 0.5000, 0.3917) [4 per cell]  1 As 2.41


No. 3
Here is a geometry-optimized TaGa2Sn structure from Alexandria via LeMat-Bulk. Energies are from PBE.

Values from the calculation:
As for the total magnetization: 0.00 Bohr magnetons per cell. For the formation energy from the elements, the calculation gives 400 meV per atom.

Cell: 7.6925 7.6925 5.6264 Å, 90.00 90.00 90.00°
Last column: nearest neighbours and their distance in Å.
Space group I-42d (No. 122)
Asymmetric unit:
Ta (0.0000, 0.0000, 0.0000) [4 per cell]  4 Ga 2.69, 2 Sn 2.81
Ga (0.2273, 0.2500, 0.1250) [8 per cell]  2 Ta 2.69, 2 Ga 2.83, 2 Sn 2.93
Sn (0.0000, 0.0000, 0.5000) [4 per cell]  2 Ta 2.81, 4 Ga 2.93


No. 4
Here is a geometry-optimized CaGe2Bi2 structure from Alexandria via LeMat-Bulk. Energies are from PBE.

Values from the calculation:
As for the total magnetization: 0.00 Bohr magnetons per cell. For the formation energy from the elements, the calculation gives -108 meV per atom. The energy relative to the lowest polymorph listed for this composition comes out at 0 meV per atom.

Cell: 7.9289 7.9289 4.2768 Å, 90.00 90.00 90.00°
Last column: nearest neighbours and their distance in Å.
Space group P4/mbm (No. 127)
Asymmetric unit:
Ca (0.0000, 0.0000, 0.0000) [2 per cell]  4 Ge 3.17
Ge (0.1187, 0.3813, 0.0000) [4 per cell]  1 Ge 2.66
Bi (0.1793, 0.6793, 0.5000) [4 per cell]  6 Ge 3.11-3.22


No. 5
Here is a geometry-optimized SrAuCl2 structure from Alexandria via LeMat-Bulk. Energies are from PBE.

Values from the calculation:
As for the total magnetization: 0.00 Bohr magnetons per cell. For the raw formation energy, the calculation gives -1174 meV/atom. The energy relative to the lowest polymorph listed for this composition comes out at 60 meV per atom.

Cell: 4.1096 4.4179 5.3203 Å, 90.00 90.00 90.00°
Last column: nearest neighbours and their distance in Å.
Space group Pmmm (No. 47)
Asymmetric unit:
Sr (0.0000, 0.0000, 0.0000) [1 per cell]  8 Cl 3.02-3.36
Au (0.0000, 0.5000, 0.5000) [1 per cell]  8 Cl 3.02-3.36
Cl (0.5000, 0.0000, 0.5000) [1 per cell]  4 Au 3.02, 4 Sr 3.36
Cl (0.5000, 0.5000, 0.0000) [1 per cell]  4 Sr 3.02, 4 Au 3.36


No. 6
Here is a geometry-optimized SrCdTc2Os structure from Alexandria via LeMat-Bulk. Energies are from PBE.

Values from the calculation:
As for the total magnetization: 1.86 Bohr magnetons per cell. For the formation energy from the elements, the calculation gives 930 meV per atom.

Cell: 4.8016 4.8016 5.2401 Å, 90.00 90.00 90.00°
Last column: nearest neighbours and their distance in Å.
Space group P4/mmm (No. 123)
Asymmetric unit:
Sr (0.0000, 0.0000, 0.0000) [1 per cell]  4 Cd 3.40, 8 Tc 3.55
Cd (0.5000, 0.5000, 0.0000) [1 per cell]  2 Os 2.62
Tc (0.0000, 0.5000, 0.5000) [2 per cell]  2 Os 2.40
Os (0.5000, 0.5000, 0.5000) [1 per cell]  4 Tc 2.40, 2 Cd 2.62


No. 7
Here is a geometry-optimized AcCd2Au structure from Alexandria via LeMat-Bulk. Energies are from PBE.

Values from the calculation:
As for the total magnetization: 0.00 Bohr magnetons per cell. For the formation energy from the elements, the calculation gives 156 meV per atom. The energy relative to the lowest polymorph listed for this composition comes out at 663 meV per atom.

Cell: 3.6620 3.6620 31.6331 Å, 90.00 90.00 120.00°
Last column: nearest neighbours and their distance in Å.
Space group R-3m (No. 166, hexagonal axes)
Asymmetric unit:
Ac (0.0000, 0.0000, 0.0000) [3 per cell]  2 Cd 3.34, 6 Ac 3.66
Cd (0.0000, 0.0000, 0.1056) [6 per cell]  3 Au 2.86
Au (0.0000, 0.0000, 0.5000) [3 per cell]  6 Cd 2.86


No. 8
Here is a geometry-optimized K4U3MnS8 structure from Alexandria via LeMat-Bulk. Energies are from PBE.

Values from the calculation:
As for the total magnetization: 39.30 Bohr magnetons per cell. For the raw formation energy, the calculation gives -1270 meV/atom.

Cell: 8.0068 8.0068 22.1813 Å, 90.00 90.00 120.00°
Last column: nearest neighbours and their distance in Å.
Space group R-3m (No. 166, hexagonal axes)
Asymmetric unit:
K (0.0000, 0.0000, 0.0000) [3 per cell]  6 S 3.25
K (0.0000, 0.5000, 0.0000) [9 per cell]  6 S 3.17-3.19
U (0.0000, 0.5000, 0.5000) [9 per cell]  6 S 2.76-2.77
Mn (0.0000, 0.0000, 0.5000) [3 per cell]  6 S 2.69
S (0.0000, 0.0000, 0.2353) [6 per cell]  3 U 2.77
S (0.0082, 0.5041, 0.2328) [18 per cell]  1 Mn 2.69, 2 U 2.76


These records have density of states at the Fermi level values of 0.95 0.42 0.75 0.79 0.29 1.21 0.42 0.70 states/eV/atom, in the order they appear.